Record 1
Below is an optimized crystal structure of Hf3ZrBe, with properties calculated at the PBE-GGA level.

a b c (Å): 5.0695 5.0695 5.0695
angles (deg): 90.00 90.00 90.00
Last column: nearest neighbours and their distance in Å.
Fractional positions:
Hf  0.0000  0.0000  0.5000  2 Zr 2.53
Hf  0.0000  0.5000  0.0000  2 Zr 2.53
Hf  0.5000  0.0000  0.0000  2 Zr 2.53
Zr  0.0000  0.0000  0.0000  6 Hf 2.53
Be  0.5000  0.5000  0.5000  12 Hf 3.58

- excess energy over the best structure of this formula in the dataset (meV/atom) = 1240.6
- E_form (kJ/mol of atoms) = 157.4

Record 2
Below is an optimized crystal structure of HfZr2Be9, with properties calculated at the PBE-GGA level.

a b c (Å): 7.8683 7.8683 7.8683
angles (deg): 34.63 34.63 34.63
Last column: nearest neighbours and their distance in Å.
Fractional positions:
Hf  0.0000  0.0000  0.0000  18 Be 2.70-2.92
Zr  0.1414  0.1414  0.1414  12 Be 2.73-2.85, 3 Zr 2.93
Zr  0.8586  0.8586  0.8586  12 Be 2.73-2.85, 3 Zr 2.93
Be  0.0773  0.5789  0.5789  7 Be 2.19-2.38
Be  0.3343  0.3343  0.3343  6 Be 2.19-2.22
Be  0.4211  0.4211  0.9227  7 Be 2.19-2.38
Be  0.4211  0.9227  0.4211  7 Be 2.19-2.38
Be  0.5000  0.5000  0.5000  6 Be 2.38
Be  0.5789  0.0773  0.5789  7 Be 2.19-2.38
Be  0.5789  0.5789  0.0773  7 Be 2.19-2.38
Be  0.6657  0.6657  0.6657  6 Be 2.19-2.22
Be  0.9227  0.4211  0.4211  7 Be 2.19-2.38

- E_form (kJ/mol of atoms) = -15.0

What did the second record say?
Below is an optimized crystal structure of HfZr2Be9, with properties calculated at the PBE-GGA level.

a b c (Å): 7.8683 7.8683 7.8683
angles (deg): 34.63 34.63 34.63
Last column: nearest neighbours and their distance in Å.
Fractional positions:
Hf  0.0000  0.0000  0.0000  18 Be 2.70-2.92
Zr  0.1414  0.1414  0.1414  12 Be 2.73-2.85, 3 Zr 2.93
Zr  0.8586  0.8586  0.8586  12 Be 2.73-2.85, 3 Zr 2.93
Be  0.0773  0.5789  0.5789  7 Be 2.19-2.38
Be  0.3343  0.3343  0.3343  6 Be 2.19-2.22
Be  0.4211  0.4211  0.9227  7 Be 2.19-2.38
Be  0.4211  0.9227  0.4211  7 Be 2.19-2.38
Be  0.5000  0.5000  0.5000  6 Be 2.38
Be  0.5789  0.0773  0.5789  7 Be 2.19-2.38
Be  0.5789  0.5789  0.0773  7 Be 2.19-2.38
Be  0.6657  0.6657  0.6657  6 Be 2.19-2.22
Be  0.9227  0.4211  0.4211  7 Be 2.19-2.38

- E_form (kJ/mol of atoms) = -15.0

> Among the records above, which one has the lowest E_form?

HfZr2Be9

Please write out number 2 again, unchanged.
Below is an optimized crystal structure of HfZr2Be9, with properties calculated at the PBE-GGA level.

a b c (Å): 7.8683 7.8683 7.8683
angles (deg): 34.63 34.63 34.63
Last column: nearest neighbours and their distance in Å.
Fractional positions:
Hf  0.0000  0.0000  0.0000  18 Be 2.70-2.92
Zr  0.1414  0.1414  0.1414  12 Be 2.73-2.85, 3 Zr 2.93
Zr  0.8586  0.8586  0.8586  12 Be 2.73-2.85, 3 Zr 2.93
Be  0.0773  0.5789  0.5789  7 Be 2.19-2.38
Be  0.3343  0.3343  0.3343  6 Be 2.19-2.22
Be  0.4211  0.4211  0.9227  7 Be 2.19-2.38
Be  0.4211  0.9227  0.4211  7 Be 2.19-2.38
Be  0.5000  0.5000  0.5000  6 Be 2.38
Be  0.5789  0.0773  0.5789  7 Be 2.19-2.38
Be  0.5789  0.5789  0.0773  7 Be 2.19-2.38
Be  0.6657  0.6657  0.6657  6 Be 2.19-2.22
Be  0.9227  0.4211  0.4211  7 Be 2.19-2.38

- E_form (kJ/mol of atoms) = -15.0

> Which value of E_form does entry 2 give?

-15.0 kJ/mol of atoms